No. 1
A geometry-optimized Zn4CoPt5 structure. Source: Alexandria, functional PBE.

abc: 2.839 2.839 17.895
angles: 90.00 90.00 90.00
Space group P4/mmm (No. 123)
Inequivalent atoms, fractional coordinates:
1 Zn 0.000 0.000 0.101 x2
2 Zn 0.000 0.000 0.302 x2
3 Co 0.000 0.000 0.500 x1
4 Pt 0.500 0.500 0.000 x1
5 Pt 0.500 0.500 0.201 x2
6 Pt 0.500 0.500 0.403 x2

Values from the calculation:
magnetic moment	2.481	μB/f.u.
density of states at the Fermi level	4.88	states/eV/f.u.
E_form	-441	kJ/mol of formula units
VASP energy	-46.978	eV per cell


No. 2
A geometry-optimized BeCrCoRe structure. Source: Alexandria, functional PBE.

abc: 5.677 5.677 5.677
angles: 90.00 90.00 90.00
Space group F-43m (No. 216)
Inequivalent atoms, fractional coordinates:
1 Be 0.000 0.000 0.000 x4
2 Cr 0.000 0.000 0.500 x4
3 Co 0.250 0.250 0.750 x4
4 Re 0.250 0.250 0.250 x4

Values from the calculation:
magnetic moment	0.000	μB/f.u.
density of states at the Fermi level	3.08	states/eV/f.u.
E_form	7	kJ/mol of formula units
VASP energy	-131.336	eV per cell


No. 3
A geometry-optimized TlFeC2Br structure. Source: Alexandria, functional PBE.

abc: 3.912 3.912 5.496
angles: 90.00 90.00 90.00
Space group P4/mmm (No. 123)
Inequivalent atoms, fractional coordinates:
1 Tl 0.000 0.000 0.000 x1
2 Fe 0.500 0.500 0.500 x1
3 C 0.000 0.500 0.500 x2
4 Br 0.500 0.500 0.000 x1

Values from the calculation:
magnetic moment	0.000	μB/f.u.
density of states at the Fermi level	2.74	states/eV/f.u.
VASP energy	-24.062	eV per cell
formation energy (no corrections)	6.887	eV/f.u.


No. 4
A geometry-optimized CoSeCl2 structure. Source: Alexandria, functional PBE.

abc: 4.923 4.923 3.076
angles: 90.00 90.00 90.00
Space group P4/mmm (No. 123)
Inequivalent atoms, fractional coordinates:
1 Co 0.000 0.000 0.000 x1
2 Se 0.500 0.500 0.000 x1
3 Cl 0.000 0.500 0.500 x2

Values from the calculation:
magnetic moment	2.128	μB/f.u.
density of states at the Fermi level	5.34	states/eV/f.u.
energy above the most stable polymorph in this dataset	968	meV per atom
VASP energy	-11.397	eV per cell
formation energy (no corrections)	2.886	eV/f.u.